Entry from Alexandria via LeMat-Bulk: an optimized crystal structure of MoRuRh4 (PBE-GGA).

abc: 3.8564 11.5504 3.8653
angles: 90.00 90.00 90.00
With the nearest neighbours (Å) after each atom.
Fractional positions:
Mo  0.0000  0.0000  0.0000  8 Rh 2.68-2.70, 4 Ru 2.73
Mo  0.5000  0.5000  0.0000  8 Rh 2.68-2.70, 4 Ru 2.73
Ru  0.0000  0.5000  0.5000  8 Rh 2.69-2.70, 4 Mo 2.73
Ru  0.5000  0.0000  0.5000  8 Rh 2.69-2.70, 4 Mo 2.73
Rh  0.0000  0.1638  0.5000  2 Ru 2.70, 2 Mo 2.70, 8 Rh 2.73-2.79
Rh  0.0000  0.3383  0.0000  2 Mo 2.68, 2 Ru 2.69, 8 Rh 2.73-2.81
Rh  0.0000  0.6617  0.0000  2 Mo 2.68, 2 Ru 2.69, 8 Rh 2.73-2.81
Rh  0.0000  0.8362  0.5000  2 Ru 2.70, 2 Mo 2.70, 8 Rh 2.73-2.79
Rh  0.5000  0.1617  0.0000  2 Mo 2.68, 2 Ru 2.69, 8 Rh 2.73-2.81
Rh  0.5000  0.3362  0.5000  2 Ru 2.70, 2 Mo 2.70, 8 Rh 2.73-2.79
Rh  0.5000  0.6638  0.5000  2 Ru 2.70, 2 Mo 2.70, 8 Rh 2.73-2.79
Rh  0.5000  0.8383  0.0000  2 Mo 2.68, 2 Ru 2.69, 8 Rh 2.73-2.81

Summary:
Formation energy, meV per atom: -142


Entry from Alexandria via LeMat-Bulk: an optimized crystal structure of LaMnTl2S4 (PBE-GGA).

abc: 7.8672 7.8722 8.5929
angles: 64.45 64.28 86.79
With the nearest neighbours (Å) after each atom.
Fractional positions:
La  0.0000  0.0000  0.0000  6 S 2.83-3.01
La  0.0710  0.0695  0.4436  6 S 2.83-3.01
Mn  0.5855  0.0997  0.3819  5 S 2.37-2.44
Mn  0.9724  0.4860  0.0611  5 S 2.37-2.45
Tl  0.0268  0.5463  0.5237  2 S 2.91-3.06
Tl  0.4723  0.5248  0.5590  5 S 3.00-3.28, 1 Tl 3.36
Tl  0.5237  0.0425  0.9175  2 S 2.92-3.06
Tl  0.5473  0.5965  0.8835  5 S 3.00-3.27, 1 Tl 3.36
S  0.1585  0.6620  0.1138  1 Mn 2.37
S  0.2051  0.2727  0.0258  1 Mn 2.42
S  0.2962  0.1774  0.5814  1 Mn 2.42
S  0.4117  0.9149  0.3266  1 Mn 2.37
S  0.7685  0.2985  0.0331  2 Mn 2.39-2.44
S  0.7734  0.3033  0.4109  2 Mn 2.40-2.45
S  0.7978  0.8659  0.4178  1 Mn 2.43
S  0.8937  0.7741  0.8619  1 Mn 2.42

Summary:
E_form (uncorrected), eV/f.u.: -7.3


Entry from Alexandria via LeMat-Bulk: an optimized crystal structure of CeMg2ZnCd4 (PBE-GGA).

abc: 9.2782 9.2782 9.2782
angles: 30.51 30.51 30.51
With the nearest neighbours (Å) after each atom.
Fractional positions:
Ce  0.0000  0.0000  0.0000  8 Cd 3.20-3.40, 6 Mg 3.57
Mg  0.2505  0.2505  0.2505  7 Cd 2.90-3.24
Mg  0.7495  0.7495  0.7495  7 Cd 2.90-3.24
Zn  0.5000  0.5000  0.5000  8 Cd 2.90-3.00
Cd  0.1284  0.1284  0.1284  3 Zn 3.00, 4 Mg 3.07-3.24
Cd  0.3908  0.3908  0.3908  1 Zn 2.90, 3 Mg 2.90, 3 Ce 3.20
Cd  0.6092  0.6092  0.6092  1 Zn 2.90, 3 Mg 2.90, 3 Ce 3.20
Cd  0.8716  0.8716  0.8716  3 Zn 3.00, 4 Mg 3.07-3.24

Summary:
Formation energy, meV per atom: -97


The calculation returns the following magnetic moment values, one per record and in order: 0.00 8.00 0.95 μB/cell.